Entry 1:
Material: LiSm2S
Method: DFT, PBE-GGA
State: relaxed

Summary:
Formation energy from raw total energies in eV per atom: -0.838
Mass density in kg/m3: 5057

Cell and atoms, written as POSCAR:
```
LiSm2S
1.0
1.9239 1.1108 8.6995
-1.9239 1.1108 8.6995
0.0000 -2.2215 8.6995
Li Sm S
1 2 1
Cartesian
0.0000 0.0000 0.0000 Li
0.0000 0.0000 6.0012 Sm
0.0000 0.0000 11.4105 Sm
0.0000 0.0000 21.7441 S
```

Entry 2:
Material: LiSmS
Method: DFT, PBE-GGA
State: relaxed

Summary:
Formation energy from raw total energies in eV per atom: -1.092
Mass density in kg/m3: 4167

Cell and atoms, written as POSCAR:
```
LiSmS
1.0
2.3705 1.3686 7.7532
-2.3705 1.3686 7.7532
0.0000 -2.7372 7.7532
Li Sm S
2 2 2
Cartesian
0.0000 0.0000 4.1403 Li
0.0000 0.0000 19.1192 Li
0.0000 0.0000 9.3543 Sm
0.0000 0.0000 13.9051 Sm
0.0000 0.0000 6.5264 S
0.0000 0.0000 16.7331 S
```

Entry 3:
Material: LiSm2S
Method: DFT, PBE-GGA
State: relaxed

Summary:
Formation energy from raw total energies in eV per atom: -0.712
Mass density in kg/m3: 4589

Cell and atoms, written as POSCAR:
```
LiSm2S
1.0
1.8871 1.0895 9.9642
-1.8871 1.0895 9.9642
0.0000 -2.1790 9.9642
Li Sm S
1 2 1
Cartesian
0.0000 0.0000 0.0000 Li
0.0000 0.0000 3.3207 Sm
0.0000 0.0000 26.5718 Sm
0.0000 0.0000 14.9462 S
```

Entry 4:
Material: Li4Sm3SnS8
Method: DFT, PBE-GGA
State: relaxed

Summary:
Formation energy from raw total energies in eV per atom: -1.524
Mass density in kg/m3: 4184

Cell and atoms, written as POSCAR:
```
Li4Sm3SnS8
1.0
3.9758 2.2955 6.1909
-3.9758 2.2955 6.1909
0.0000 -4.5909 6.1909
Li Sm Sn S
4 3 1 8
Cartesian
0.0000 0.0000 0.0000 Li
-1.9879 -1.1477 6.1909 Li
-1.9879 1.1477 12.3819 Li
0.0000 2.2954 6.1909 Li
-3.9758 0.0000 9.2864 Sm
-1.9879 1.1477 3.0955 Sm
1.9879 1.1477 3.0955 Sm
0.0000 0.0000 9.2864 Sn
0.0000 0.0000 4.6757 S
0.0000 -2.2461 7.7155 S
-1.9451 1.1230 7.7155 S
-1.9451 -1.1230 10.8573 S
1.9451 1.1230 7.7155 S
1.9452 -1.1230 10.8573 S
0.0000 2.2461 10.8573 S
0.0000 0.0000 13.8971 S
```

Entry 5:
Material: Li2SmSnS4
Method: DFT, PBE-GGA
State: relaxed

Summary:
Formation energy from raw total energies in eV per atom: -1.249
Mass density in kg/m3: 4072

Cell and atoms, written as POSCAR:
```
Li2SmSnS4
1.0
-2.7433 2.7433 5.5702
2.7433 -2.7433 5.5702
2.7433 2.7433 -5.5702
Li Sm Sn S
2 1 1 4
Cartesian
0.0000 0.0000 0.0000 Li
0.0000 2.7433 2.7851 Li
2.7433 0.0000 2.7851 Sm
0.0000 0.0000 5.5702 Sn
0.0000 0.0000 2.8413 S
0.0000 2.7433 0.0284 S
0.0000 0.0000 8.2990 S
0.0000 2.7433 5.5418 S
```

Entry 6:
Material: LiSm2SnS5
Method: DFT, PBE-GGA
State: relaxed

Summary:
Formation energy from raw total energies in eV per atom: -1.384
Mass density in kg/m3: 5012

Cell and atoms, written as POSCAR:
```
LiSm2SnS5
1.0
1.9740 -8.6086 0.0000
1.9740 8.6086 0.0000
0.0000 0.0000 11.4380
Li Sm Sn S
2 4 2 10
Cartesian
1.9740 4.6831 5.7190 Li
1.9740 -4.6831 0.0000 Li
1.9740 6.4970 9.1282 Sm
1.9740 6.3889 2.0269 Sm
1.9740 -6.3889 7.7459 Sm
1.9740 -6.4970 3.4092 Sm
1.9740 1.4491 11.1875 Sn
1.9740 -1.4491 5.4685 Sn
1.9740 8.1353 6.7344 S
1.9740 3.5104 9.4649 S
1.9740 3.3799 1.7171 S
1.9740 2.3514 5.6234 S
1.9740 0.1968 8.9463 S
1.9740 -0.1968 3.2273 S
1.9740 -2.3514 11.3424 S
1.9740 -3.3799 7.4361 S
1.9740 -3.5104 3.7459 S
1.9740 -8.1353 1.0154 S
```

Entry 7:
Material: SrLiSmS3
Method: DFT, PBE-GGA
State: relaxed

Summary:
Formation energy from raw total energies in eV per atom: -1.899
Mass density in kg/m3: 3900

Cell and atoms, written as POSCAR:
```
SrLiSmS3
1.0
8.4619 0.0000 0.0000
0.0000 4.0483 0.0000
-1.8210 0.0000 8.4793
Sr Li Sm S
2 2 2 6
Cartesian
1.1091 1.0121 1.9484 Sr
5.5318 3.0362 6.5309 Sr
-0.3492 1.0121 4.9704 Li
6.9901 3.0362 3.5089 Li
1.3203 3.0362 7.0257 Sm
5.3206 1.0121 1.4535 Sm
-0.6183 1.0121 7.3413 S
0.7944 3.0362 4.2960 S
3.3566 3.0362 1.3984 S
3.2843 1.0121 7.0809 S
5.8465 1.0121 4.1833 S
7.2592 3.0362 1.1380 S
```

Entry 8:
Material: Sr2LiSmS4
Method: DFT, PBE-GGA
State: relaxed

Summary:
Formation energy from raw total energies in eV per atom: -1.932
Mass density in kg/m3: 3851

Cell and atoms, written as POSCAR:
```
Sr2LiSmS4
1.0
7.0886 0.0000 0.0000
0.0000 4.1547 0.0000
-2.3023 0.0000 6.7459
Sr Li Sm S
2 1 1 4
Cartesian
0.0000 0.0000 0.0000 Sr
3.5443 2.0773 0.0000 Sr
-1.1512 2.0773 3.3729 Li
2.3931 0.0000 3.3729 Sm
0.0887 0.0000 4.9570 S
1.1998 2.0773 1.8223 S
3.5865 2.0773 4.9236 S
4.6976 0.0000 1.7888 S
```

Entry 9:
Material: Sr3LiSm2S6
Method: DFT, PBE-GGA
State: relaxed

Summary:
Formation energy from raw total energies in eV per atom: -1.985
Mass density in kg/m3: 4258

Cell and atoms, written as POSCAR:
```
Sr3LiSm2S6
1.0
3.5634 -6.1706 0.0000
3.5634 6.1706 0.0000
-2.3701 0.0000 6.7654
Sr Li Sm S
3 1 2 6
Cartesian
0.0000 0.0000 0.0000 Sr
3.5634 2.0317 0.0000 Sr
3.5634 -2.0317 0.0000 Sr
2.3783 0.0000 3.3827 Li
2.3783 4.1090 3.3827 Sm
2.3783 -4.1090 3.3827 Sm
1.1814 2.0687 1.8052 S
-0.0061 0.0000 4.9474 S
1.1814 -2.0687 1.8052 S
3.5753 2.0687 4.9602 S
4.7627 0.0000 1.8181 S
3.5753 -2.0687 4.9602 S
```

Entry 10:
Material: Li2TbSm3S6
Method: DFT, PBE-GGA
State: relaxed

Summary:
Formation energy from raw total energies in eV per atom: -1.892
Mass density in kg/m3: 5239

Cell and atoms, written as POSCAR:
```
Li2TbSm3S6
1.0
3.4158 -5.9156 0.0000
3.4158 5.9156 0.0000
-2.2747 0.0000 6.4021
Li Tb Sm S
2 1 3 6
Cartesian
3.4158 3.9392 0.0000 Li
3.4158 -3.9392 0.0000 Li
3.4158 0.0000 0.0000 Tb
-1.1374 0.0000 3.2010 Sm
2.2784 1.9840 3.2010 Sm
2.2784 -1.9840 3.2010 Sm
-0.0098 1.9897 4.8759 S
1.1206 0.0000 1.5397 S
-0.0098 -1.9897 4.8759 S
4.5665 1.9897 1.5262 S
3.4361 0.0000 4.8624 S
4.5665 -1.9897 1.5262 S
```

Entry 11:
Material: LiTb3Sm4S8
Method: DFT, PBE-GGA
State: relaxed

Summary:
Formation energy from raw total energies in eV per atom: -1.974
Mass density in kg/m3: 6366

Cell and atoms, written as POSCAR:
```
LiTb3Sm4S8
1.0
3.9492 2.2801 6.4777
-3.9492 2.2801 6.4777
0.0000 -4.5602 6.4777
Li Tb Sm S
1 3 4 8
Cartesian
0.0000 0.0000 0.0000 Li
-1.9746 -1.1400 6.4777 Tb
-1.9746 1.1400 12.9554 Tb
0.0000 2.2801 6.4777 Tb
-3.9492 0.0000 9.7166 Sm
-1.9746 1.1400 3.2388 Sm
1.9746 1.1400 3.2389 Sm
0.0000 0.0000 9.7166 Sm
0.0000 -2.3202 8.0198 S
-2.0093 1.1601 8.0198 S
-2.0093 -1.1601 11.4133 S
0.0000 0.0000 4.9075 S
0.0000 0.0000 14.5256 S
2.0093 1.1601 8.0198 S
2.0093 -1.1601 11.4133 S
0.0000 2.3202 11.4133 S
```

Entry 12:
Material: Li3Tb2SmS6
Method: DFT, PBE-GGA
State: relaxed

Summary:
Formation energy from raw total energies in eV per atom: -1.831
Mass density in kg/m3: 4494

Cell and atoms, written as POSCAR:
```
Li3Tb2SmS6
1.0
3.4266 -5.9374 0.0000
3.4266 5.9374 0.0000
-2.2784 0.0000 6.1886
Li Tb Sm S
3 2 1 6
Cartesian
0.0000 0.0000 0.0000 Li
3.4266 2.0010 0.0000 Li
3.4266 -2.0010 0.0000 Li
2.2874 3.9598 3.0943 Tb
2.2874 -3.9598 3.0943 Tb
2.2874 0.0000 3.0943 Sm
1.1303 2.0055 1.5344 S
-0.0277 0.0000 4.6597 S
1.1303 -2.0055 1.5344 S
3.4445 2.0055 4.6542 S
4.6024 0.0000 1.5289 S
3.4445 -2.0055 4.6542 S
```

Entry 13:
Material: LiTbSm2S4
Method: DFT, PBE-GGA
State: relaxed

Summary:
Formation energy from raw total energies in eV per atom: -1.933
Mass density in kg/m3: 5691

Cell and atoms, written as POSCAR:
```
LiTbSm2S4
1.0
6.8216 0.0000 0.0000
0.0000 3.9486 0.0000
-2.2748 0.0000 6.4439
Li Tb Sm S
1 1 2 4
Cartesian
0.0000 0.0000 0.0000 Li
3.4108 1.9743 0.0000 Tb
-1.1374 1.9743 3.2220 Sm
2.2734 0.0000 3.2220 Sm
1.1192 1.9743 1.5410 S
-0.0357 0.0000 4.9027 S
4.5825 0.0000 1.5412 S
3.4276 1.9743 4.9029 S
```

Entry 14:
Material: Li2TbSmS4
Method: DFT, PBE-GGA
State: relaxed

Summary:
Formation energy from raw total energies in eV per atom: -1.824
Mass density in kg/m3: 4437

Cell and atoms, written as POSCAR:
```
Li2TbSmS4
1.0
6.5979 0.0000 0.0000
0.0000 3.9708 0.0000
-2.3841 0.0000 6.4490
Li Tb Sm S
2 1 1 4
Cartesian
0.0000 0.0000 0.0000 Li
-1.1920 1.9854 3.2245 Li
2.1069 0.0000 3.2245 Tb
3.2989 1.9854 0.0000 Sm
-0.1519 0.0000 4.8043 S
1.0320 1.9854 1.6338 S
3.1818 1.9854 4.8152 S
4.3657 0.0000 1.6447 S
```

Entry 15:
Material: LiTb2SmS4
Method: DFT, PBE-GGA
State: relaxed

Summary:
Formation energy from raw total energies in eV per atom: -1.938
Mass density in kg/m3: 5843

Cell and atoms, written as POSCAR:
```
LiTb2SmS4
1.0
6.8054 0.0000 0.0000
0.0000 3.9241 0.0000
-2.2576 0.0000 6.4210
Li Tb Sm S
1 2 1 4
Cartesian
0.0000 0.0000 0.0000 Li
-1.1288 1.9621 3.2105 Tb
2.2739 0.0000 3.2105 Tb
3.4027 1.9621 0.0000 Sm
-0.0463 0.0000 4.8095 S
1.1004 1.9621 1.5978 S
3.4474 1.9621 4.8231 S
4.5942 0.0000 1.6115 S
```

Entry 16:
Material: LiTbSmS3
Method: DFT, PBE-GGA
State: relaxed

Summary:
Formation energy from raw total energies in eV per atom: -1.823
Mass density in kg/m3: 5339

Cell and atoms, written as POSCAR:
```
LiTbSmS3
1.0
8.1185 0.0000 0.0000
0.0000 3.8427 0.0000
-1.7772 0.0000 8.2237
Li Tb Sm S
2 2 2 6
Cartesian
0.5567 0.9607 0.6900 Li
5.7847 2.8820 7.5337 Li
2.1543 2.8820 2.7367 Tb
4.1870 0.9607 5.4870 Tb
0.2231 0.9607 5.9209 Sm
6.1182 2.8820 2.3028 Sm
0.1264 0.9607 3.0210 S
-0.0352 2.8820 8.1791 S
2.2481 2.8820 5.5225 S
4.0933 0.9607 2.7012 S
6.3765 0.9607 0.0445 S
6.2149 2.8820 5.2027 S
```

Entry 17:
Material: LiSmTeS
Method: DFT, PBE-GGA
State: relaxed

Summary:
Formation energy from raw total energies in eV per atom: -1.446
Mass density in kg/m3: 5150

Cell and atoms, written as POSCAR:
```
LiSmTeS
1.0
4.5668 0.0000 0.0000
0.0000 4.5668 0.0000
0.0000 0.0000 9.8010
Li Sm Te S
2 2 2 2
Cartesian
1.1417 3.4251 0.0000 Li
3.4251 1.1417 0.0000 Li
1.1417 1.1417 3.4036 Sm
3.4251 3.4251 6.3974 Sm
1.1417 1.1417 8.1372 Te
3.4251 3.4251 1.6638 Te
1.1417 3.4251 4.9005 S
3.4251 1.1417 4.9005 S
```

Entry 18:
Material: Li3Sm2ThS6
Method: DFT, PBE-GGA
State: relaxed

Summary:
Formation energy from raw total energies in eV per atom: -1.751
Mass density in kg/m3: 4817

Cell and atoms, written as POSCAR:
```
Li3Sm2ThS6
1.0
3.4535 -5.9849 0.0000
3.4535 5.9849 0.0000
-2.2966 0.0000 6.2201
Li Sm Th S
3 2 1 6
Cartesian
0.0000 0.0000 0.0000 Li
3.4535 2.0232 0.0000 Li
3.4535 -2.0232 0.0000 Li
2.3053 3.9920 3.1101 Sm
2.3053 -3.9920 3.1101 Sm
2.3053 0.0000 3.1101 Th
1.1619 1.9820 1.4914 S
0.0191 0.0000 4.7234 S
1.1619 -1.9820 1.4914 S
3.4486 1.9820 4.7287 S
4.5914 0.0000 1.4967 S
3.4486 -1.9820 4.7287 S
```

Entry 19:
Material: LiSm3Th2S6
Method: DFT, PBE-GGA
State: relaxed

Summary:
Formation energy from raw total energies in eV per atom: -1.884
Mass density in kg/m3: 6858

Cell and atoms, written as POSCAR:
```
LiSm3Th2S6
1.0
3.4516 -6.0190 0.0000
3.4516 6.0190 0.0000
-2.3357 0.0000 6.4942
Li Sm Th S
1 3 2 6
Cartesian
0.0000 0.0000 0.0000 Li
2.2837 4.0091 3.2471 Sm
2.2837 0.0000 3.2471 Sm
2.2837 -4.0091 3.2471 Sm
3.4516 1.9994 0.0000 Th
3.4516 -1.9994 0.0000 Th
1.0992 1.9381 1.5889 S
-0.1165 0.0000 4.9124 S
1.0992 -1.9381 1.5889 S
3.4682 1.9381 4.9053 S
4.6840 0.0000 1.5817 S
3.4682 -1.9381 4.9053 S
```

Entry 20:
Material: Li2SmThS4
Method: DFT, PBE-GGA
State: relaxed

Summary:
Formation energy from raw total energies in eV per atom: -1.715
Mass density in kg/m3: 5084

Cell and atoms, written as POSCAR:
```
Li2SmThS4
1.0
6.6543 0.0000 0.0000
0.0000 3.9803 0.0000
-2.3606 0.0000 6.4683
Li Sm Th S
2 1 1 4
Cartesian
0.0000 0.0000 0.0000 Li
-1.1803 1.9901 3.2341 Li
2.1468 0.0000 3.2341 Sm
3.3272 1.9901 0.0000 Th
-0.1889 0.0000 4.8250 S
1.0154 1.9901 1.5861 S
3.2783 1.9901 4.8822 S
4.4826 0.0000 1.6432 S
```